Compound: La2ZrSb
Source: Alexandria via LeMat-Bulk
Functional: GGA-PBE
Structure: relaxed

space group	P4mm
energy	-24.22	eV/cell

a = 3.8759 Å, b = 3.8759 Å, c = 7.7586 Å
α = 90.00°, β = 90.00°, γ = 90.00°
Closest atoms and distances in Å follow each position.
Fractional positions:
La: 0.0000 0.0000 0.9747  1 Sb 3.39, 4 Zr 3.45, 4 La 3.63
La: 0.5000 0.5000 0.2821  1 Zr 3.29, 4 Sb 3.38, 4 La 3.63
Sb: 0.0000 0.0000 0.5375  4 Zr 3.04, 5 La 3.38-3.39
Zr: 0.5000 0.5000 0.7057  4 Sb 3.04, 1 La 3.29

Compound: LaZrSb3
Source: Alexandria via LeMat-Bulk
Functional: GGA-PBE
Structure: relaxed

space group	Pm-3m
energy	-27.26	eV/cell

a = 5.5053 Å, b = 5.5053 Å, c = 5.5053 Å
α = 90.00°, β = 90.00°, γ = 90.00°
Closest atoms and distances in Å follow each position.
Fractional positions:
Sb: 0.0000 0.5000 0.0000  2 Zr 2.75
Sb: 0.0000 0.0000 0.5000  2 Zr 2.75
Sb: 0.5000 0.0000 0.0000  2 Zr 2.75
Zr: 0.0000 0.0000 0.0000  6 Sb 2.75
La: 0.5000 0.5000 0.5000  12 Sb 3.89

Compound: La2ZrSb
Source: Alexandria via LeMat-Bulk
Functional: GGA-PBE
Structure: relaxed

space group	R-3m
energy	-23.01	eV/cell

a = 11.0275 Å, b = 11.0275 Å, c = 11.0275 Å
α = 18.80°, β = 18.80°, γ = 18.80°
Closest atoms and distances in Å follow each position.
Fractional positions:
La: 0.9983 0.9983 0.9983  3 Sb 3.37, 3 Zr 3.46, 6 La 3.60
La: 0.5017 0.5017 0.5017  3 Sb 3.37, 3 Zr 3.46, 6 La 3.60
Sb: 0.2500 0.2500 0.2500  6 La 3.37, 6 Sb 3.60
Zr: 0.7500 0.7500 0.7500  6 La 3.46, 6 Zr 3.60

Compound: LaZrSb2
Source: Alexandria via LeMat-Bulk
Functional: GGA-PBE
Structure: relaxed

space group	F-43m
energy	-22.42	eV/cell

a = 5.3058 Å, b = 5.3058 Å, c = 5.3058 Å
α = 60.00°, β = 60.00°, γ = 60.00°
Closest atoms and distances in Å follow each position.
Fractional positions:
La: 0.5000 0.5000 0.5000  4 Zr 3.25, 4 Sb 3.25
Sb: 0.0000 0.0000 0.0000  4 Zr 3.25, 4 Sb 3.25
Sb: 0.2500 0.2500 0.2500  4 La 3.25, 4 Sb 3.25
Zr: 0.7500 0.7500 0.7500  4 La 3.25, 4 Sb 3.25

Compound: LaZrSb2
Source: Alexandria via LeMat-Bulk
Functional: GGA-PBE
Structure: relaxed

space group	I4/mmm
energy	-24.41	eV/cell

a = 5.1966 Å, b = 5.1966 Å, c = 5.1966 Å
α = 114.74°, β = 114.74°, γ = 99.38°
Closest atoms and distances in Å follow each position.
Fractional positions:
La: 0.7500 0.2500 0.5000  8 Sb 3.27, 2 Zr 3.36
Sb: 0.0000 0.0000 0.0000  4 La 3.27, 4 Zr 3.27, 2 Sb 3.36
Sb: 0.5000 0.5000 0.0000  4 Zr 3.27, 4 La 3.27, 2 Sb 3.36
Zr: 0.2500 0.7500 0.5000  8 Sb 3.27, 2 La 3.36

Compound: La2ZrSb2
Source: Alexandria via LeMat-Bulk
Functional: GGA-PBE
Structure: relaxed

space group	I4/mmm
energy	-27.63	eV/cell

a = 4.3574 Å, b = 4.3574 Å, c = 8.1995 Å
α = 74.59°, β = 74.59°, γ = 90.00°
Closest atoms and distances in Å follow each position.
Fractional positions:
Sb: 0.4062 0.4062 0.1876  1 Sb 2.85
Sb: 0.5938 0.5938 0.8124  1 Sb 2.85
Zr: 0.0000 0.0000 0.0000  8 Sb 3.39
La: 0.7500 0.2500 0.5000  4 La 3.08, 4 Sb 3.22
La: 0.2500 0.7500 0.5000  4 La 3.08, 4 Sb 3.22

Compound: LaZrSb2
Source: Alexandria via LeMat-Bulk
Functional: GGA-PBE
Structure: relaxed

space group	I-42d
energy	-48.14	eV/cell

a = 8.2112 Å, b = 8.2112 Å, c = 6.7707 Å
α = 52.67°, β = 52.67°, γ = 90.00°
Closest atoms and distances in Å follow each position.
Fractional positions:
Sb: 0.5972 0.1250 0.2500  2 Zr 2.88, 2 La 3.19
Sb: 0.1528 0.6250 0.2500  2 Zr 2.88, 2 La 3.19
Sb: 0.3750 0.4028 0.7500  2 Zr 2.88, 2 La 3.19
Sb: 0.8750 0.8472 0.7500  2 Zr 2.88, 2 La 3.19
Zr: 0.5000 0.5000 0.0000  4 Sb 2.88
Zr: 0.2500 0.7500 0.5000  4 Sb 2.88
La: 0.0000 0.0000 0.0000  4 Sb 3.19, 2 Zr 3.48
La: 0.7500 0.2500 0.5000  4 Sb 3.19, 2 Zr 3.48

Compound: LaZrSb2
Source: Alexandria via LeMat-Bulk
Functional: GGA-PBE
Structure: relaxed

space group	Amm2
energy	-24.46	eV/cell

a = 5.9663 Å, b = 5.9663 Å, c = 4.9506 Å
α = 90.00°, β = 90.00°, γ = 39.59°
Closest atoms and distances in Å follow each position.
Fractional positions:
La: 0.7496 0.7496 0.8750  7 Sb 3.07-3.25
Sb: 0.0227 0.0227 0.8750  3 La 3.07-3.25, 4 Zr 3.21, 2 Sb 3.38
Sb: 0.2281 0.2281 0.3750  3 Zr 3.05-3.27, 4 La 3.20, 2 Sb 3.38
Zr: 0.4996 0.4996 0.3749  7 Sb 3.05-3.27

Compound: LaZr2Sb
Source: Alexandria via LeMat-Bulk
Functional: GGA-PBE
Structure: relaxed

space group	P4mm
energy	-27.52	eV/cell

a = 3.7736 Å, b = 3.7736 Å, c = 7.5352 Å
α = 90.00°, β = 90.00°, γ = 90.00°
Closest atoms and distances in Å follow each position.
Fractional positions:
La: 0.0000 0.0000 0.5127  4 Sb 3.42, 5 Zr 3.53-3.55, 4 La 3.77
Sb: 0.5000 0.5000 0.7973  5 Zr 3.01-3.09
Zr: 0.0000 0.0000 0.9834  4 Sb 3.01, 4 Zr 3.15
Zr: 0.5000 0.5000 0.2067  1 Sb 3.09, 4 Zr 3.15

Compound: LaZrSb2
Source: Alexandria via LeMat-Bulk
Functional: GGA-PBE
Structure: relaxed

space group	P2/m
energy	-24.65	eV/cell

a = 3.9631 Å, b = 3.4984 Å, c = 8.0381 Å
α = 73.70°, β = 90.00°, γ = 90.00°
Closest atoms and distances in Å follow each position.
Fractional positions:
La: 0.5000 0.7500 0.7500  8 Sb 3.26-3.57, 2 La 3.50
Sb: 0.0000 0.9830 0.0281  4 Zr 2.99-3.33, 2 La 3.26
Sb: 0.0000 0.5170 0.4719  4 Zr 2.99-3.33, 2 La 3.26
Zr: 0.5000 0.2500 0.2500  8 Sb 2.99-3.33

Compound: La2ZrSb
Source: Alexandria via LeMat-Bulk
Functional: GGA-PBE
Structure: relaxed

space group	Immm
energy	-23.72	eV/cell

a = 6.1200 Å, b = 6.1200 Å, c = 4.6579 Å
α = 67.64°, β = 67.64°, γ = 45.98°
Closest atoms and distances in Å follow each position.
Fractional positions:
La: 0.0075 0.0075 0.9925  4 La 3.34, 4 Zr 3.41-3.56, 4 Sb 3.45-3.52
La: 0.4925 0.4925 0.5075  4 La 3.34, 4 Zr 3.41-3.56, 4 Sb 3.45-3.52
Sb: 0.7500 0.7500 0.7500  4 Zr 3.34, 8 La 3.45-3.52
Zr: 0.2500 0.2500 0.2500  4 Sb 3.34, 8 La 3.41-3.56

Compound: La3ZrSb5
Source: Alexandria via LeMat-Bulk
Functional: GGA-PBE
Structure: relaxed

space group	P6_3/mcm
energy	-107.03	eV/cell

a = 9.6659 Å, b = 9.6659 Å, c = 6.3890 Å
α = 90.00°, β = 90.00°, γ = 120.00°
Closest atoms and distances in Å follow each position.
Fractional positions:
La: 0.3824 0.0000 0.7500  9 Sb 3.27-3.45
La: 0.3824 0.3824 0.2500  9 Sb 3.27-3.45
La: 0.0000 0.6176 0.2500  9 Sb 3.27-3.45
La: 0.0000 0.3824 0.7500  9 Sb 3.27-3.45
La: 0.6176 0.6176 0.7500  9 Sb 3.27-3.45
La: 0.6176 0.0000 0.2500  9 Sb 3.27-3.45
Zr: 0.0000 0.0000 0.0000  6 Sb 2.98, 2 Zr 3.19
Zr: 0.0000 0.0000 0.5000  6 Sb 2.98, 2 Zr 3.19
Sb: 0.6667 0.3333 0.5000  2 Sb 3.19, 6 La 3.41
Sb: 0.3333 0.6667 0.0000  2 Sb 3.19, 6 La 3.41
Sb: 0.7396 0.0000 0.7500  2 Zr 2.98, 2 La 3.27
Sb: 0.7396 0.7396 0.2500  2 Zr 2.98, 2 La 3.27
Sb: 0.3333 0.6667 0.5000  2 Sb 3.19, 6 La 3.41
Sb: 0.6667 0.3333 0.0000  2 Sb 3.19, 6 La 3.41
Sb: 0.2604 0.0000 0.2500  2 Zr 2.98, 2 La 3.27
Sb: 0.2604 0.2604 0.7500  2 Zr 2.98, 2 La 3.27
Sb: 0.0000 0.7396 0.7500  2 Zr 2.98, 2 La 3.27
Sb: 0.0000 0.2604 0.2500  2 Zr 2.98, 2 La 3.27

How do the records compare in size of the total moment? In the order shown, they have 0.0; 0.0; 0.0; 0.4; 0.6; 0.0; 0.0; 0.3; 1.2; 0.0; 0.9; 0.0 μB/f.u..